Entry from the Alexandria database: an optimized crystal structure of NbAl2IrBr (PBE).

## Properties
Magnetic moment (μB per formula unit): 0.88
Formation energy (no corrections) (eV/atom): 0.995
Volume (Å³ per cell): 134

Cell: 5.359 5.359 4.674 Å, 90.00 90.00 90.00°
Fractional coordinates of all 5 atoms:
Nb 0.000 0.000 0.000
Al 0.000 0.500 0.000
Al 0.500 0.000 0.000
Ir 0.000 0.000 0.500
Br 0.500 0.500 0.500